# KAl2NiF

A geometry-optimized KAl2NiF structure (PBE with a Hubbard U, the Alexandria database).

a b c (Å): 4.4953 4.4953 5.1168
angles (deg): 90.00 90.00 90.00
Sites, in units of the cell vectors:
K: 0.0000 0.0000 0.0000
Al: 0.0000 0.5000 0.5000
Al: 0.5000 0.0000 0.5000
Ni: 0.5000 0.5000 0.0000
F: 0.5000 0.5000 0.5000

## Properties
As for the final energy: -2.217 eV/atom.